Entry 1:
First-principles (GGA-PBE) data for crystalline GdDyScCu at its relaxed geometry, as listed in Alexandria via LeMat-Bulk.

extended XYZ file:
```
16
Lattice="7.3106 0.0000 0.0000 0.0000 7.3106 0.0000 0.0000 0.0000 7.3106" Properties=species:S:1:pos:R:3 pbc="T T T"
Gd 0.0000 0.0000 0.0000
Gd 0.0000 3.6553 3.6553
Gd 3.6553 0.0000 3.6553
Gd 3.6553 3.6553 0.0000
Dy 0.0000 0.0000 3.6553
Dy 0.0000 3.6553 0.0000
Dy 3.6553 0.0000 0.0000
Dy 3.6553 3.6553 3.6553
Sc 1.8277 1.8277 1.8277
Sc 1.8277 5.4830 5.4830
Sc 5.4830 1.8277 5.4830
Sc 5.4830 5.4830 1.8277
Cu 1.8277 1.8277 5.4830
Cu 1.8277 5.4830 1.8277
Cu 5.4830 1.8277 1.8277
Cu 5.4830 5.4830 5.4830
```

Results
energy of formation	0.12	eV/atom
crystal system	cubic

---

Entry 2:
First-principles (GGA-PBE) data for crystalline GdDyCuSi at its relaxed geometry, as listed in Alexandria via LeMat-Bulk.

extended XYZ file:
```
16
Lattice="7.0084 0.0000 0.0000 0.0000 7.0084 0.0000 0.0000 0.0000 7.0084" Properties=species:S:1:pos:R:3 pbc="T T T"
Gd 0.0000 0.0000 0.0000
Gd 0.0000 3.5042 3.5042
Gd 3.5042 0.0000 3.5042
Gd 3.5042 3.5042 0.0000
Dy 0.0000 0.0000 3.5042
Dy 0.0000 3.5042 0.0000
Dy 3.5042 0.0000 0.0000
Dy 3.5042 3.5042 3.5042
Cu 1.7521 1.7521 5.2563
Cu 1.7521 5.2563 1.7521
Cu 5.2563 1.7521 1.7521
Cu 5.2563 5.2563 5.2563
Si 1.7521 1.7521 1.7521
Si 1.7521 5.2563 5.2563
Si 5.2563 1.7521 5.2563
Si 5.2563 5.2563 1.7521
```

Results
raw formation energy	-166	kJ/mol of formula units
crystal system	cubic

---

Entry 3:
First-principles (GGA-PBE) data for crystalline GdDyCuSn at its relaxed geometry, as listed in Alexandria via LeMat-Bulk.

extended XYZ file:
```
16
Lattice="7.3039 0.0000 0.0000 0.0000 7.3039 0.0000 0.0000 0.0000 7.3039" Properties=species:S:1:pos:R:3 pbc="T T T"
Gd 0.0000 0.0000 0.0000
Gd 0.0000 3.6520 3.6520
Gd 3.6520 0.0000 3.6520
Gd 3.6520 3.6520 0.0000
Dy 0.0000 0.0000 3.6520
Dy 0.0000 3.6520 0.0000
Dy 3.6520 0.0000 0.0000
Dy 3.6520 3.6520 3.6520
Cu 1.8260 1.8260 5.4780
Cu 1.8260 5.4780 1.8260
Cu 5.4780 1.8260 1.8260
Cu 5.4780 5.4780 5.4780
Sn 1.8260 1.8260 1.8260
Sn 1.8260 5.4780 5.4780
Sn 5.4780 1.8260 5.4780
Sn 5.4780 5.4780 1.8260
```

Results
energy of formation	-0.44	eV/atom
crystal system	cubic

---

Entry 4:
First-principles (GGA-PBE) data for crystalline GdDyCuTc at its relaxed geometry, as listed in Alexandria via LeMat-Bulk.

extended XYZ file:
```
16
Lattice="6.9131 0.0000 0.0000 0.0000 6.9131 0.0000 0.0000 0.0000 6.9131" Properties=species:S:1:pos:R:3 pbc="T T T"
Gd 0.0000 0.0000 0.0000
Gd 0.0000 3.4566 3.4566
Gd 3.4566 0.0000 3.4566
Gd 3.4566 3.4566 0.0000
Dy 0.0000 0.0000 3.4566
Dy 0.0000 3.4566 0.0000
Dy 3.4566 0.0000 0.0000
Dy 3.4566 3.4566 3.4566
Cu 1.7283 1.7283 5.1848
Cu 1.7283 5.1848 1.7283
Cu 5.1848 1.7283 1.7283
Cu 5.1848 5.1848 5.1848
Tc 1.7283 1.7283 1.7283
Tc 1.7283 5.1848 5.1848
Tc 5.1848 1.7283 5.1848
Tc 5.1848 5.1848 1.7283
```

Results
energy of formation	-0.07	eV/atom
crystal system	cubic

---

Entry 5:
First-principles (GGA-PBE) data for crystalline GdDyTlCu at its relaxed geometry, as listed in Alexandria via LeMat-Bulk.

extended XYZ file:
```
16
Lattice="7.3495 0.0000 0.0000 0.0000 7.3495 0.0000 0.0000 0.0000 7.3495" Properties=species:S:1:pos:R:3 pbc="T T T"
Gd 0.0000 0.0000 0.0000
Gd 0.0000 3.6748 3.6748
Gd 3.6748 0.0000 3.6748
Gd 3.6748 3.6748 0.0000
Dy 0.0000 0.0000 3.6748
Dy 0.0000 3.6748 0.0000
Dy 3.6748 0.0000 0.0000
Dy 3.6748 3.6748 3.6748
Tl 1.8374 1.8374 1.8374
Tl 1.8374 5.5121 5.5121
Tl 5.5121 1.8374 5.5121
Tl 5.5121 5.5121 1.8374
Cu 1.8374 1.8374 5.5121
Cu 1.8374 5.5121 1.8374
Cu 5.5121 1.8374 1.8374
Cu 5.5121 5.5121 5.5121
```

Results
energy of formation	-0.25	eV/atom
crystal system	cubic

---

Entry 6:
First-principles (GGA-PBE) data for crystalline DyCu4Ge at its relaxed geometry, as listed in Alexandria via LeMat-Bulk.

extended XYZ file:
```
6
Lattice="0.0000 3.5839 3.5839 3.5839 0.0000 3.5839 3.5839 3.5839 0.0000" Properties=species:S:1:pos:R:3 pbc="T T T"
Dy 0.0000 0.0000 0.0000
Cu 4.4787 2.6890 2.6890
Cu 2.6890 4.4787 2.6890
Cu 2.6890 2.6890 4.4787
Cu 4.4787 4.4787 4.4787
Ge 1.7919 1.7919 1.7919
```

Results
energy of formation	-0.18	eV/atom
crystal system	cubic

---

Entry 7:
First-principles (GGA-PBE) data for crystalline Dy3Cu2Ge4 at its relaxed geometry, as listed in Alexandria via LeMat-Bulk.

extended XYZ file:
```
9
Lattice="5.3682 -2.0886 0.0000 5.3682 2.0886 0.0000 -1.8533 0.0000 7.9644" Properties=species:S:1:pos:R:3 pbc="T T T"
Dy 0.0000 0.0000 0.0000
Dy 3.0328 0.0000 2.6374
Dy 5.8502 0.0000 5.3270
Cu 2.8355 0.0000 5.6867
Cu 6.0475 0.0000 2.2777
Ge -0.0366 0.0000 3.0865
Ge 1.3498 0.0000 7.4887
Ge 7.5332 0.0000 0.4756
Ge 8.9196 0.0000 4.8779
```

Results
energy of formation	-0.68	eV/atom
crystal system	monoclinic

---

Entry 8:
First-principles (GGA-PBE) data for crystalline Dy3CuGe at its relaxed geometry, as listed in Alexandria via LeMat-Bulk.

extended XYZ file:
```
10
Lattice="4.2456 0.0000 0.0000 -2.1224 6.9663 0.0000 -0.0013 -0.3917 8.2793" Properties=species:S:1:pos:R:3 pbc="T T T"
Dy 0.0007 0.5970 2.5324
Dy 0.0011 3.0477 5.6575
Dy 0.0063 5.4941 0.6085
Dy 2.1157 1.0805 7.6708
Dy 2.1209 3.5270 2.6218
Dy 2.1213 5.9776 5.7468
Cu -0.0043 2.8348 0.5349
Cu 2.1263 3.7399 7.7444
Ge -0.0005 5.4672 3.6300
Ge 2.1225 1.1074 4.6492
```

Results
energy of formation	-0.40	eV/atom
crystal system	triclinic

---

Calculated total magnetization, 7.293 7.545 7.778 7.031 7.546 0.000 0.000 0.000 μB per formula unit (same order as the records).